## one
# TlGePt PBE-GGA optimized geometry
data_TlGePt
_chemical_formula_sum 'Tl1 Ge1 Pt1'
_symmetry_space_group_name_H-M 'P 3 m 1'
_symmetry_Int_Tables_number 156
_cell_length_a 3.7598
_cell_length_b 3.7598
_cell_length_c 5.6460
_cell_angle_alpha 90.00
_cell_angle_beta 90.00
_cell_angle_gamma 120.00
loop_
_symmetry_equiv_pos_as_xyz
'x,y,z'
'-y,x-y,z'
'-x+y,-x,z'
'-y,-x,z'
'-x+y,y,z'
'x,x-y,z'
loop_
_atom_site_label
_atom_site_type_symbol
_atom_site_fract_x
_atom_site_fract_y
_atom_site_fract_z
_atom_site_occupancy
Tl1 Tl 0.0000 0.0000 0.0000 1
Ge1 Ge 0.6667 0.3333 0.5735 1
Pt1 Pt 0.3333 0.6667 0.3702 1
# Total magnetization = 0.0 μB/f.u.

## two
# TlGePt PBE-GGA optimized geometry
data_TlGePt
_chemical_formula_sum 'Tl2 Ge2 Pt2'
_symmetry_space_group_name_H-M 'P -1'
_symmetry_Int_Tables_number 2
_cell_length_a 4.532
_cell_length_b 4.534
_cell_length_c 7.492
_cell_angle_alpha 91.13
_cell_angle_beta 91.41
_cell_angle_gamma 103.90
loop_
_symmetry_equiv_pos_as_xyz
'x,y,z'
'-x,-y,-z'
loop_
_atom_site_label
_atom_site_type_symbol
_atom_site_fract_x
_atom_site_fract_y
_atom_site_fract_z
_atom_site_occupancy
Tl1 Tl 0.233 0.230 0.344 1
Ge1 Ge 0.309 0.310 0.859 1
Pt1 Pt 0.208 0.792 0.000 1
# Total magnetization = 0.0 μB/f.u.

The most stable of them is two.

## one
# TlGe2Pt PBE-GGA optimized geometry
data_TlGe2Pt
_chemical_formula_sum 'Tl4 Ge8 Pt4'
_symmetry_space_group_name_H-M 'F m -3 m'
_symmetry_Int_Tables_number 225
_symmetry_space_group_name_Hall '-F 4 2 3'
_cell_length_a 6.817
_cell_length_b 6.817
_cell_length_c 6.817
_cell_angle_alpha 90.00
_cell_angle_beta 90.00
_cell_angle_gamma 90.00
loop_
_atom_site_label
_atom_site_type_symbol
_atom_site_fract_x
_atom_site_fract_y
_atom_site_fract_z
_atom_site_occupancy
Tl1 Tl 0.000 0.000 0.000 1
Ge1 Ge 0.250 0.250 0.250 1
Pt1 Pt 0.000 0.000 0.500 1
# Total magnetization = 0.0 μB/f.u.

## two
# TlGe2Pt PBE-GGA optimized geometry
data_TlGe2Pt
_chemical_formula_sum 'Tl3 Ge6 Pt3'
_symmetry_space_group_name_H-M 'R -3 m'
_symmetry_Int_Tables_number 166
_symmetry_space_group_name_Hall '-R 3 2"'
_cell_length_a 3.5783
_cell_length_b 3.5783
_cell_length_c 25.9331
_cell_angle_alpha 90.00
_cell_angle_beta 90.00
_cell_angle_gamma 120.00
loop_
_atom_site_label
_atom_site_type_symbol
_atom_site_fract_x
_atom_site_fract_y
_atom_site_fract_z
_atom_site_occupancy
Tl1 Tl 0.0000 0.0000 0.0000 1
Ge1 Ge 0.0000 0.0000 0.1094 1
Pt1 Pt 0.0000 0.0000 0.5000 1
# Total magnetization = 0.0 μB/f.u.

The most stable of them is two.

## one
# TmGePt3 PBE-GGA optimized geometry
data_TmGePt3
_chemical_formula_sum 'Tm2 Ge2 Pt6'
_symmetry_space_group_name_H-M 'P m n 21'
_symmetry_Int_Tables_number 31
_cell_length_a 5.670
_cell_length_b 4.586
_cell_length_c 7.220
_cell_angle_alpha 90.00
_cell_angle_beta 90.00
_cell_angle_gamma 90.00
loop_
_symmetry_equiv_pos_as_xyz
'x,y,z'
'-x+1/2,-y,z+1/2'
'-x,y,z'
'x+1/2,-y,z+1/2'
loop_
_atom_site_label
_atom_site_type_symbol
_atom_site_fract_x
_atom_site_fract_y
_atom_site_fract_z
_atom_site_occupancy
Tm1 Tm 0.000 0.025 0.000 1
Ge1 Ge 0.000 0.668 0.541 1
Pt1 Pt 0.000 0.141 0.403 1
Pt2 Pt 0.243 0.619 0.234 1
# Total magnetization = 0.0 μB/f.u.

## two
# TmGePt3 PBE-GGA optimized geometry
data_TmGePt3
_chemical_formula_sum 'Tm8 Ge8 Pt24'
_symmetry_space_group_name_H-M 'C m c m'
_symmetry_Int_Tables_number 63
_symmetry_space_group_name_Hall '-C 2c 2'
_cell_length_a 10.301
_cell_length_b 8.387
_cell_length_c 9.314
_cell_angle_alpha 90.00
_cell_angle_beta 90.00
_cell_angle_gamma 90.00
loop_
_atom_site_label
_atom_site_type_symbol
_atom_site_fract_x
_atom_site_fract_y
_atom_site_fract_z
_atom_site_occupancy
Tm1 Tm 0.000 0.011 0.250 1
Tm2 Tm 0.000 0.413 0.750 1
Ge1 Ge 0.250 0.250 0.000 1
Pt1 Pt 0.000 0.194 0.506 1
Pt2 Pt 0.137 0.500 0.000 1
Pt3 Pt 0.162 0.296 0.250 1
# Total magnetization = 0.0 μB/f.u.

The most stable of them is one.

## one
# YTmGePt PBE-GGA optimized geometry
data_YTmGePt
_chemical_formula_sum 'Y2 Tm2 Ge2 Pt2'
_symmetry_space_group_name_H-M 'A m m 2'
_symmetry_Int_Tables_number 38
_cell_length_a 4.283
_cell_length_b 3.886
_cell_length_c 10.766
_cell_angle_alpha 90.00
_cell_angle_beta 90.00
_cell_angle_gamma 90.00
loop_
_symmetry_equiv_pos_as_xyz
'x,y,z'
'-x,-y,z'
'-x,y,z'
'x,-y,z'
'x,y+1/2,z+1/2'
'-x,-y+1/2,z+1/2'
'-x,y+1/2,z+1/2'
'x,-y+1/2,z+1/2'
loop_
_atom_site_label
_atom_site_type_symbol
_atom_site_fract_x
_atom_site_fract_y
_atom_site_fract_z
_atom_site_occupancy
Y1 Y 0.000 0.000 0.000 1
Tm1 Tm 0.500 0.000 0.720 1
Ge1 Ge 0.000 0.000 0.277 1
Pt1 Pt 0.500 0.000 0.443 1
# Total magnetization = 0.0 μB/f.u.

## two
# YTmGePt PBE-GGA optimized geometry
data_YTmGePt
_chemical_formula_sum 'Y4 Tm4 Ge4 Pt4'
_symmetry_space_group_name_H-M 'F -4 3 m'
_symmetry_Int_Tables_number 216
_symmetry_space_group_name_Hall 'F -4 2 3'
_cell_length_a 7.044
_cell_length_b 7.044
_cell_length_c 7.044
_cell_angle_alpha 90.00
_cell_angle_beta 90.00
_cell_angle_gamma 90.00
loop_
_atom_site_label
_atom_site_type_symbol
_atom_site_fract_x
_atom_site_fract_y
_atom_site_fract_z
_atom_site_occupancy
Y1 Y 0.000 0.000 0.000 1
Tm1 Tm 0.000 0.000 0.500 1
Ge1 Ge 0.250 0.250 0.250 1
Pt1 Pt 0.250 0.250 0.750 1
# Total magnetization = 0.0 μB/f.u.

The most stable of them is one.